(1)
TbPaTe2 | GGA-PBE | relaxed

Structure (POSCAR):
```
TbPaTe2
1.0
3.762 0.000 0.000
0.000 3.762 0.000
0.000 0.000 7.502
Tb Pa Te
1 1 2
Cartesian
0.000 0.000 0.000
0.000 0.000 3.751
1.881 1.881 1.920
1.881 1.881 5.582
```

Properties
- Distance to the lowest polymorph of the same formula: 14 meV/atom
- ΔE_f (raw): -0.9058 eV/atom
- Total magnetization: 1.09 Bohr magnetons per cell


(2)
ZrZn5Ir6 | GGA-PBE | relaxed

Structure (POSCAR):
```
ZrZn5Ir6
1.0
4.354 0.000 0.000
0.000 6.219 0.000
-2.187 0.000 6.500
Zr Zn Ir
1 5 6
Cartesian
0.000 0.000 0.000
0.000 3.109 0.000
-0.009 3.109 4.355
-0.009 0.000 4.361
2.176 0.000 2.139
2.176 3.109 2.146
-0.002 1.586 2.235
-0.002 4.633 2.235
2.177 1.638 0.000
2.177 4.581 0.000
2.168 1.586 4.266
2.168 4.633 4.266
```

Properties
- DFT formation energy: -3.7 eV/f.u.
- Total magnetization: 0.00 Bohr magnetons per cell


(3)
RbS | GGA-PBE | relaxed

Structure (POSCAR):
```
RbS
1.0
5.331 0.000 0.000
0.000 8.896 0.000
0.000 0.000 11.907
Rb S
8 8
Cartesian
0.321 1.011 5.251
0.360 6.784 7.911
2.306 2.113 1.958
2.345 7.886 11.205
2.986 3.438 6.656
3.025 6.561 3.996
4.971 2.336 9.950
5.010 5.459 0.702
0.312 4.741 5.267
0.514 8.164 2.358
2.152 0.732 8.312
2.353 4.155 11.221
2.978 8.603 6.640
3.179 5.180 9.549
4.817 3.716 3.595
5.019 0.293 0.686
```

Properties
- ΔE_f (raw): -0.8703 eV/atom
- Total magnetization: 0.00 Bohr magnetons per cell


(4)
Ag2WSeS | GGA-PBE | relaxed

Structure (POSCAR):
```
Ag2WSeS
1.0
4.883 0.000 0.000
0.000 4.883 0.000
0.000 0.000 5.057
Ag W Se S
2 1 1 1
Cartesian
0.000 2.441 0.000
2.441 0.000 0.000
0.000 0.000 2.529
2.441 2.441 0.000
2.441 2.441 2.529
```

Properties
- ΔE_f (raw): 1.5110 eV/atom
- Total magnetization: 4.56 Bohr magnetons per cell


(5)
DyCuAsH | GGA-PBE | relaxed

Structure (POSCAR):
```
DyCuAsH
1.0
3.889 0.000 0.000
0.000 3.889 0.000
0.000 0.000 7.787
Dy Cu As H
2 2 2 2
Cartesian
0.972 0.972 1.283
2.917 2.917 6.503
0.972 2.917 3.893
2.917 0.972 3.893
0.972 0.972 5.474
2.917 2.917 2.313
0.972 2.917 0.000
2.917 0.972 0.000
```

Properties
- Raw total energy: -39.44 eV for the cell shown
- Total magnetization: 0.00 Bohr magnetons per cell


(6)
TmAg5 | GGA-PBE | relaxed

Structure (POSCAR):
```
TmAg5
1.0
9.594 0.000 0.000
0.000 4.176 0.000
-1.920 0.000 5.805
Tm Ag
2 10
Cartesian
0.000 0.000 0.000
4.797 2.088 0.000
-0.960 0.000 2.903
0.008 2.088 4.800
0.977 2.088 1.986
1.900 0.000 3.819
2.869 0.000 1.005
3.837 2.088 2.903
4.805 0.000 4.800
5.774 0.000 1.986
6.696 2.088 3.819
7.666 2.088 1.005
```

Properties
- DFT formation energy: -0.7 eV/f.u.
- Total magnetization: 0.00 Bohr magnetons per cell